Entry 1:
The following is a PBE calculation of KZrRh2 after structural relaxation, from Alexandria via LeMat-Bulk.

Cell: 3.550 3.550 9.118 Å, 103.91 103.91 52.82°
Fractional positions:
K: 0.000 0.000 0.000
Zr: 0.787 0.787 0.499
Rh: 0.169 0.169 0.699
Rh: 0.406 0.406 0.299

The offset from the most stable computed form comes out at 199 meV/atom. As for the formation energy: -0.023 eV/atom. The symmetry is Cm (8).

***

Entry 2:
The following is a PBE calculation of CeH4Rh after structural relaxation, from Alexandria via LeMat-Bulk.

Cell: 5.864 5.864 6.674 Å, 103.48 103.48 38.58°
Fractional positions:
Ce: 0.184 0.184 0.209
Ce: 0.816 0.816 0.791
H: 0.044 0.044 0.889
H: 0.051 0.051 0.418
H: 0.245 0.245 0.602
H: 0.400 0.400 0.308
H: 0.600 0.600 0.692
H: 0.755 0.755 0.398
H: 0.949 0.949 0.582
H: 0.956 0.956 0.111
Rh: 0.112 0.112 0.689
Rh: 0.888 0.888 0.311

Its raw total energy is -4.713 eV/atom. The symmetry is C2/m (12).

***

Entry 3:
The following is a PBE calculation of Er2Mg3Pb3 after structural relaxation, from Alexandria via LeMat-Bulk.

Cell: 4.687 4.842 9.055 Å, 90.00 90.00 90.00°
Fractional positions:
Er: 0.000 0.000 0.248
Er: 0.000 0.000 0.752
Mg: 0.000 0.500 0.500
Mg: 0.500 0.500 0.259
Mg: 0.500 0.500 0.741
Pb: 0.000 0.500 0.000
Pb: 0.500 0.000 0.000
Pb: 0.500 0.000 0.500

As for the formation energy: -0.277 eV/atom. The symmetry is Pmmm (47).

***

Number 1: V 22.04 Å³ per atom, DOS(E_F) 1.66 states/eV/f.u.. Number 2: V 11.56 Å³ per atom, DOS(E_F) 5.53 states/eV/f.u.. Number 3: V 25.69 Å³ per atom, DOS(E_F) 3.54 states/eV/f.u..